Here is an optimized crystal structure of SrLa2YRu from Alexandria via LeMat-Bulk. Energies are from PBE. Values from VASP.

Geometry as Quantum ESPRESSO input:
```
&SYSTEM
  ibrav = 0, nat = 5, ntyp = 4
/
ATOMIC_SPECIES
Sr 87.62 Sr.upf
La 138.91 La.upf
Y 88.91 Y.upf
Ru 101.07 Ru.upf
CELL_PARAMETERS angstrom
5.833 0.000 0.000
0.000 5.833 0.000
0.000 0.000 4.919
ATOMIC_POSITIONS angstrom
Sr 0.000 0.000 0.000
La 0.000 2.916 0.000
La 2.916 0.000 0.000
Y 2.916 2.916 2.460
Ru 0.000 0.000 2.460
```

Values from the calculation:
The size of the total moment comes out at 0.00 μB per formula unit.

Here is an optimized crystal structure of SrLa2ZnRu from Alexandria via LeMat-Bulk. Energies are from PBE. Values from VASP.

Geometry as Quantum ESPRESSO input:
```
&SYSTEM
  ibrav = 0, nat = 5, ntyp = 4
/
ATOMIC_SPECIES
Sr 87.62 Sr.upf
La 138.91 La.upf
Zn 65.41 Zn.upf
Ru 101.07 Ru.upf
CELL_PARAMETERS angstrom
5.437 0.000 0.000
0.000 5.437 0.000
0.000 0.000 5.320
ATOMIC_POSITIONS angstrom
Sr 0.000 0.000 0.000
La 0.000 2.718 2.660
La 2.718 0.000 2.660
Zn 2.718 2.718 0.000
Ru 2.718 2.718 2.660
```

Values from the calculation:
The size of the total moment comes out at 0.00 μB per formula unit.

no.,Fermi-level density of states (states/eV/atom),calculated formation energy (eV per atom),energy above the lowest structure with this stoichiometry (eV per atom)
1,1.588,1.14,1.287
2,0.810,-0.11,0.000